Entry 1:
VASP calculation (PBE) on a relaxed structure of Si3NiMo3.

**Space-group type**: Cmcm, No. 63
**Raw total energy**: -0.594 Ry per atom
**Crystal system**: orthorhombic
**Total magnetization**: 0.044 μB per formula unit

Cell lengths 4.8529, 4.8529, 11.9993 Å; angles 90.00, 90.00, 137.47 degrees
Last column: nearest neighbours and their distance in Å.
Fractional coordinates of all 14 atoms:
Si1 0.0842 0.9158 0.5965  2 Ni 2.24, 1 Si 2.37
Si2 0.0842 0.9158 0.9035  2 Ni 2.24, 1 Si 2.37
Si3 0.2491 0.7509 0.7500  2 Si 2.37, 5 Mo 2.49-2.53
Si4 0.7509 0.2491 0.2500  2 Si 2.37, 5 Mo 2.49-2.53
Si5 0.9158 0.0842 0.0965  2 Ni 2.24, 1 Si 2.37
Si6 0.9158 0.0842 0.4035  2 Ni 2.24, 1 Si 2.37
Ni1 0.5000 0.5000 0.0000  4 Si 2.24
Ni2 0.5000 0.5000 0.5000  4 Si 2.24
Mo1 0.2045 0.7955 0.1027  6 Si 2.53-2.63
Mo2 0.2045 0.7955 0.3973  6 Si 2.53-2.63
Mo3 0.4759 0.5241 0.2500  7 Si 2.49-2.69
Mo4 0.5241 0.4759 0.7500  7 Si 2.49-2.69
Mo5 0.7955 0.2045 0.6027  6 Si 2.53-2.63
Mo6 0.7955 0.2045 0.8973  6 Si 2.53-2.63

=====

Entry 2:
VASP calculation (PBE) on a relaxed structure of HfAl2Au2.

**Polymorph energy (0 for the lowest one)**: 0 meV per atom
**Space-group type**: I4/mmm, No. 139
**Crystal system**: tetragonal
**Total magnetization**: 0.000 μB per formula unit

Cell lengths 6.5950, 6.5950, 6.5950 Å; angles 145.48, 145.48, 49.62 degrees
Last column: nearest neighbours and their distance in Å.
Fractional coordinates of all 5 atoms:
Hf1 0.0000 0.0000 0.0000  8 Au 3.07
Al1 0.2500 0.7500 0.5000  4 Au 2.57, 4 Al 2.77
Al2 0.7500 0.2500 0.5000  4 Au 2.57, 4 Al 2.77
Au1 0.3890 0.3890 0.0000  4 Al 2.57, 1 Au 2.66
Au2 0.6110 0.6110 0.0000  4 Al 2.57, 1 Au 2.66

=====

Entry 3:
VASP calculation (PBE) on a relaxed structure of NaHgBiPd.

**Polymorph energy (0 for the lowest one)**: 44 meV per atom
**Space-group type**: F-43m, No. 216
**Crystal system**: cubic

Cell lengths 5.0318, 5.0318, 5.0318 Å; angles 60.00, 60.00, 60.00 degrees
Last column: nearest neighbours and their distance in Å.
Fractional coordinates of all 4 atoms:
Na1 0.0000 0.0000 0.0000  4 Hg 3.08, 4 Pd 3.08
Hg1 0.7500 0.7500 0.7500  4 Na 3.08, 4 Bi 3.08
Bi1 0.5000 0.5000 0.5000  4 Hg 3.08, 4 Pd 3.08
Pd1 0.2500 0.2500 0.2500  4 Bi 3.08, 4 Na 3.08

=====

Entry 4:
VASP calculation (PBE) on a relaxed structure of NaPrPt4.

**Space-group type**: F-43m, No. 216
**Raw total energy**: -0.431 Ry per atom
**Crystal system**: cubic
**Total magnetization**: 0.013 μB per formula unit

Cell lengths 5.4496, 5.4496, 5.4496 Å; angles 60.00, 60.00, 60.00 degrees
Last column: nearest neighbours and their distance in Å.
Fractional coordinates of all 6 atoms:
Na1 0.0000 0.0000 0.0000  12 Pt 3.19, 4 Pr 3.34
Pr1 0.2500 0.2500 0.2500  12 Pt 3.20, 4 Na 3.34
Pt1 0.1237 0.6254 0.6254  6 Pt 2.72-2.73
Pt2 0.6254 0.1237 0.6254  6 Pt 2.72-2.73
Pt3 0.6254 0.6254 0.1237  6 Pt 2.72-2.73
Pt4 0.6254 0.6254 0.6254  6 Pt 2.72-2.73

=====

| no. | density (g/cm3) |
| --- | --- |
| 1 | 7.49 |
| 2 | 11.34 |
| 3 | 9.93 |
| 4 | 13.70 |